# 1
Material: SrPd2O4
Method: DFT, PBE
State: optimized geometry

```
SrPd2O4
1.0
-3.046 3.046 5.198
3.046 -3.046 5.198
3.046 3.046 -5.198
Sr Pd O
2 4 8
direct
0.375 0.125 0.250 Sr
0.625 0.875 0.750 Sr
0.000 0.000 0.500 Pd
0.000 0.500 0.000 Pd
0.000 0.500 0.500 Pd
0.500 0.500 0.000 Pd
0.020 0.700 0.880 O
0.200 0.820 0.680 O
0.320 0.140 0.620 O
0.360 0.480 0.180 O
0.640 0.520 0.820 O
0.680 0.860 0.380 O
0.800 0.180 0.320 O
0.980 0.300 0.120 O
```

- space-group type = I4_1/a
- formation energy (no corrections) (meV/atom) = -1148

***

# 2
Material: Te3Pd2Au
Method: DFT, PBE
State: optimized geometry

```
Te3Pd2Au
1.0
8.032 0.000 0.000
-4.016 6.956 0.000
0.000 0.000 5.156
Te Pd Au
6 4 2
direct
0.176 0.351 0.241 Te
0.176 0.824 0.241 Te
0.351 0.176 0.759 Te
0.649 0.824 0.241 Te
0.824 0.176 0.759 Te
0.824 0.649 0.759 Te
0.000 0.000 0.500 Pd
0.000 0.500 0.500 Pd
0.500 0.000 0.500 Pd
0.500 0.500 0.500 Pd
0.333 0.667 0.837 Au
0.667 0.333 0.163 Au
```

- space-group type = P-3m1
- formation energy (no corrections) (meV/atom) = -224

***

# 3
Material: YHo2Cu6
Method: DFT, PBE
State: optimized geometry

```
YHo2Cu6
1.0
7.316 0.000 0.000
-3.658 6.336 0.000
0.000 0.000 3.555
Y Ho Cu
1 2 6
direct
0.000 0.000 0.000 Y
0.333 0.667 0.000 Ho
0.667 0.333 0.000 Ho
0.000 0.334 0.500 Cu
0.000 0.666 0.500 Cu
0.334 0.000 0.500 Cu
0.334 0.334 0.500 Cu
0.666 0.000 0.500 Cu
0.666 0.666 0.500 Cu
```

- space-group type = P6/mmm
- E_form (eV per atom) = -0.26

***

# 4
Material: Na2TcP
Method: DFT, PBE
State: optimized geometry

```
Na2TcP
1.0
-5.322 5.322 2.260
5.322 -5.322 2.260
5.322 5.322 -2.260
Na Tc P
4 2 2
direct
0.375 0.050 0.175 Na
0.800 0.625 0.675 Na
0.875 0.200 0.825 Na
0.950 0.125 0.325 Na
0.250 0.750 0.500 Tc
0.500 0.500 0.000 Tc
0.000 0.000 0.000 P
0.750 0.250 0.500 P
```

- space-group type = I-42d
- E_form (eV per atom) = 0.42

***

no.,N(E_F) (states/eV per cell),magnetization (μB per atom),raw total energy (eV/atom)
1,11.966,0.2047,-5.705
2,5.350,0.0000,-4.072
3,4.835,0.0000,-4.725
4,8.102,0.5139,-4.181